Entry from Alexandria via LeMat-Bulk: a relaxed Ce2NdTl2 crystal (PBE).

Summary:
Space-group type   No. 12
Magnetization   0.62 μB per cell
Total DFT energy (no corrections)   -22.13 eV per cell
Energy relative to the elements   -14.8 kJ/mol of atoms

Lattice parameters (Å, degrees): 4.3849 4.3848 8.2084 103.99 103.99 91.38
Closest atoms and distances in Å follow each position.
Sites, in units of the cell vectors:
Ce  0.2199  0.7801  0.5000  3 Ce 2.76-3.09
Ce  0.7801  0.2199  0.5000  3 Ce 2.76-3.09
Nd  0.0000  0.0000  0.0000  8 Tl 3.38-3.46
Tl  0.5859  0.5859  0.1905  1 Tl 2.93, 4 Ce 3.21-3.28
Tl  0.4141  0.4141  0.8095  1 Tl 2.93, 4 Ce 3.21-3.28